BeCoAgF6: optimized geometry, GGA+U.

Values from the calculation:
Crystal system: trigonal
Uncorrected energy, eV for the cell shown: -82.37
ρ, g cm⁻³: 4.4
Total magnetization, μB per formula unit: 0.07

Cell: 4.818 4.818 10.848 Å, 90.00 90.00 120.00°
Each line ends with the local moment (μB).
Fractional positions:
Be (0.667, 0.333, 0.250)  0.00
F (0.624, 0.638, 0.658)  0.00
F (0.362, 0.376, 0.842)  0.00
F (0.986, 0.624, 0.342)  0.00
F (0.376, 0.014, 0.158)  0.00
Co (0.667, 0.333, 0.750)  0.00
F (0.638, 0.624, 0.158)  0.00
F (0.014, 0.638, 0.842)  0.00
Ag (0.000, 0.000, 0.500)  0.06
Be (0.333, 0.667, 0.750)  0.00
F (0.014, 0.376, 0.658)  0.00
Co (0.333, 0.667, 0.250)  0.00
F (0.624, 0.986, 0.842)  0.00
F (0.376, 0.362, 0.342)  0.00
Ag (0.000, 0.000, 0.000)  0.06
F (0.362, 0.986, 0.658)  0.00
F (0.986, 0.362, 0.158)  0.00
F (0.638, 0.014, 0.342)  0.00